No. 1
VASP calculation (PBE) on a geometry-optimized TaSbO2F structure.

Cell and atoms, written as POSCAR:
```
TaSbO2F
1.0
4.032 0.000 0.000
0.000 4.032 0.000
0.000 0.000 4.420
Sb F O Ta
1 1 2 1
Direct
0.500 0.500 0.500
0.000 0.000 0.500
0.000 0.500 0.000
0.500 0.000 0.000
0.000 0.000 0.000
```

Properties
**DFT total energy**: -7.05 eV/atom
**Space-group type**: P4/mmm, No. 123

***

No. 2
VASP calculation (PBE) on a geometry-optimized TaSbO2F structure.

Cell and atoms, written as POSCAR:
```
TaSbO2F
1.0
4.338 0.000 0.000
0.000 4.338 0.000
0.000 0.000 4.232
Sb F O Ta
1 1 2 1
Direct
0.000 0.000 0.000
0.000 0.000 0.500
0.000 0.500 0.000
0.500 0.000 0.000
0.500 0.500 0.500
```

Properties
**DFT total energy**: -5.65 eV/atom
**Space-group type**: P4/mmm, No. 123

***

No. 3
VASP calculation (PBE) on a geometry-optimized TaSbOF2 structure.

Cell and atoms, written as POSCAR:
```
TaSbOF2
1.0
-3.640 -1.677 -1.886
1.981 -3.950 -0.311
-1.380 -0.969 3.525
Sb F O Ta
1 2 1 1
Direct
0.500 0.500 0.500
0.000 0.500 0.000
0.500 0.000 0.000
0.000 0.000 0.500
0.000 0.000 0.000
```

Properties
**DFT total energy**: -6.33 eV/atom
**Space-group type**: P4/mmm, No. 123
**Offset from the most stable computed form**: 0.0000 eV/atom

***

No. 4
VASP calculation (PBE) on a geometry-optimized TcSbOF2 structure.

Cell and atoms, written as POSCAR:
```
TcSbOF2
1.0
-2.867 2.074 -2.748
2.324 -1.472 -3.536
-2.112 -3.067 -0.111
Sb Tc O F
1 1 1 2
Direct
0.500 0.500 0.500
0.000 0.000 0.000
0.000 0.000 0.500
0.000 0.500 0.000
0.500 0.000 0.000
```

Properties
**DFT total energy**: -5.45 eV/atom
**Space-group type**: P4/mmm, No. 123
**Offset from the most stable computed form**: 0.0000 eV/atom

***

No. 5
VASP calculation (PBE) on a geometry-optimized TcSbO2F8 structure.

Cell and atoms, written as POSCAR:
```
TcSbO2F8
1.0
10.754 0.000 0.000
0.000 7.553 0.016
0.000 7.061 9.737
Tc Sb O F
4 4 8 32
Direct
0.674 0.532 0.837
0.174 0.468 0.663
0.326 0.468 0.163
0.826 0.532 0.337
0.022 0.093 0.188
0.522 0.907 0.312
0.478 0.093 0.688
0.978 0.907 0.812
0.532 0.473 0.809
0.468 0.527 0.191
0.252 0.710 0.075
0.968 0.473 0.309
0.248 0.710 0.575
0.032 0.527 0.691
0.752 0.290 0.425
0.748 0.290 0.925
0.015 0.215 0.998
0.638 0.554 0.980
0.245 0.333 0.834
0.971 0.029 0.621
0.485 0.215 0.498
0.362 0.446 0.020
0.529 0.029 0.121
0.346 0.306 0.650
0.887 0.888 0.224
0.255 0.333 0.334
0.471 0.971 0.879
0.755 0.667 0.166
0.600 0.296 0.661
0.515 0.785 0.502
0.387 0.112 0.276
0.613 0.888 0.724
0.357 0.887 0.717
0.029 0.971 0.379
0.857 0.113 0.783
0.400 0.704 0.339
0.985 0.785 0.002
0.154 0.306 0.150
0.138 0.446 0.520
0.100 0.704 0.839
0.643 0.113 0.283
0.113 0.112 0.776
0.846 0.694 0.850
0.745 0.667 0.666
0.143 0.887 0.217
0.862 0.554 0.480
0.900 0.296 0.161
0.654 0.694 0.350
```

Properties
**DFT total energy**: -5.29 eV/atom
**Space-group type**: P2_1/c, No. 14

***

No. 6
VASP calculation (PBE) on a geometry-optimized TcSbO2F structure.

Cell and atoms, written as POSCAR:
```
TcSbO2F
1.0
-3.069 -2.114 1.294
2.402 -3.044 0.724
0.676 1.497 4.051
Sb Tc O F
1 1 2 1
Direct
0.500 0.500 0.500
0.000 0.000 0.000
0.000 0.500 0.000
0.500 0.000 0.000
0.000 0.000 0.500
```

Properties
**DFT total energy**: -5.99 eV/atom
**Space-group type**: P4/mmm, No. 123

***

No. 7
VASP calculation (PBE) on a geometry-optimized TcSbO2F structure.

Cell and atoms, written as POSCAR:
```
TcSbO2F
1.0
-2.125 0.718 -3.603
0.171 -4.139 -0.926
-3.782 -0.627 2.106
Sb Tc O F
1 1 2 1
Direct
0.000 0.000 0.000
0.500 0.500 0.500
0.000 0.500 0.000
0.500 0.000 0.000
0.000 0.000 0.500
```

Properties
**DFT total energy**: -5.56 eV/atom
**Space-group type**: P4/mmm, No. 123

***

No. 8
VASP calculation (PBE) on a geometry-optimized TcSbOF2 structure.

Cell and atoms, written as POSCAR:
```
TcSbOF2
1.0
-1.327 4.266 0.737
-2.641 -0.187 -3.673
-3.234 -1.420 2.398
Sb Tc O F
1 1 1 2
Direct
0.000 0.000 0.000
0.500 0.500 0.500
0.000 0.000 0.500
0.000 0.500 0.000
0.500 0.000 0.000
```

Properties
**DFT total energy**: -5.08 eV/atom
**Space-group type**: P4/mmm, No. 123
**Offset from the most stable computed form**: 0.3656 eV/atom

***

No. 9
VASP calculation (PBE) on a geometry-optimized Sb2TeOF structure.

Cell and atoms, written as POSCAR:
```
Sb2TeOF
1.0
4.767 0.000 0.000
0.000 4.767 0.000
0.000 0.000 4.731
Sb Te O F
2 1 1 1
Direct
0.000 0.500 0.000
0.500 0.000 0.000
0.000 0.000 0.500
0.000 0.000 0.000
0.500 0.500 0.500
```

Properties
**DFT total energy**: -3.80 eV/atom
**Space-group type**: P4/mmm, No. 123
**Offset from the most stable computed form**: 0.0000 eV/atom

***

No. 10
VASP calculation (PBE) on a geometry-optimized SbTeO2F structure.

Cell and atoms, written as POSCAR:
```
SbTeO2F
1.0
-1.330 -3.935 -0.934
3.154 -1.625 2.354
-2.731 0.047 3.692
Sb Te O F
1 1 2 1
Direct
0.500 0.500 0.500
0.000 0.000 0.000
0.000 0.500 0.000
0.500 0.000 0.000
0.000 0.000 0.500
```

Properties
**DFT total energy**: -4.27 eV/atom
**Space-group type**: P4/mmm, No. 123

***

No. 11
VASP calculation (PBE) on a geometry-optimized Sb2TeOF structure.

Cell and atoms, written as POSCAR:
```
Sb2TeOF
1.0
5.875 0.000 0.000
0.000 3.910 0.000
0.000 0.000 5.875
Sb Te O F
2 1 1 1
Direct
0.000 0.000 0.500
0.500 0.000 0.000
0.000 0.000 0.000
0.000 0.500 0.000
0.500 0.500 0.500
```

Properties
**DFT total energy**: -3.59 eV/atom
**Space-group type**: P4/mmm, No. 123
**Offset from the most stable computed form**: 0.2055 eV/atom

***

No. 12
VASP calculation (PBE) on a geometry-optimized SbTeO2F structure.

Cell and atoms, written as POSCAR:
```
SbTeO2F
1.0
4.286 0.000 0.000
0.000 4.286 0.000
0.000 0.000 4.403
Sb Te O F
1 1 2 1
Direct
0.000 0.000 0.000
0.500 0.500 0.500
0.000 0.500 0.000
0.500 0.000 0.000
0.000 0.000 0.500
```

Properties
**DFT total energy**: -4.41 eV/atom
**Space-group type**: P4/mmm, No. 123

***

No. 13
VASP calculation (PBE) on a geometry-optimized TiSbO2F structure.

Cell and atoms, written as POSCAR:
```
TiSbO2F
1.0
4.305 0.000 0.000
0.000 4.305 0.000
0.000 0.000 4.288
Sb F O Ti
1 1 2 1
Direct
0.000 0.000 0.000
0.000 0.000 0.500
0.000 0.500 0.000
0.500 0.000 0.000
0.500 0.500 0.500
```

Properties
**DFT total energy**: -5.51 eV/atom
**Space-group type**: P4/mmm, No. 123

***

No. 14
VASP calculation (PBE) on a geometry-optimized TiSbO2F structure.

Cell and atoms, written as POSCAR:
```
TiSbO2F
1.0
3.969 0.000 0.000
0.000 3.969 0.000
0.000 0.000 4.141
Sb F O Ti
1 1 2 1
Direct
0.500 0.500 0.500
0.000 0.000 0.500
0.000 0.500 0.000
0.500 0.000 0.000
0.000 0.000 0.000
```

Properties
**DFT total energy**: -6.57 eV/atom
**Space-group type**: P4/mmm, No. 123

***

No. 15
VASP calculation (PBE) on a geometry-optimized TlSbO2F structure.

Cell and atoms, written as POSCAR:
```
TlSbO2F
1.0
-2.963 1.595 2.779
-3.123 -0.590 -2.991
-0.722 -4.043 1.551
Sb Tl O F
1 1 2 1
Direct
0.500 0.500 0.500
0.000 0.000 0.000
0.000 0.500 0.000
0.500 0.000 0.000
0.000 0.000 0.500
```

Properties
**DFT total energy**: -4.07 eV/atom
**Space-group type**: P4/mmm, No. 123

***

No. 16
VASP calculation (PBE) on a geometry-optimized Tl2SbO2F4 structure.

Cell and atoms, written as POSCAR:
```
Tl2SbO2F4
1.0
-4.063 -2.532 -1.613
2.866 -0.480 -5.414
3.873 -4.452 -1.715
Tl Sb O F
2 1 2 4
Direct
0.252 0.680 0.680
0.748 0.320 0.320
0.500 0.000 0.000
0.340 0.158 0.158
0.660 0.842 0.842
0.255 0.681 0.189
0.745 0.811 0.319
0.745 0.319 0.811
0.255 0.189 0.681
```

Properties
**DFT total energy**: -4.56 eV/atom
**Space-group type**: C2/m, No. 12

***

No. 17
VASP calculation (PBE) on a geometry-optimized Tl2SbOF5 structure.

Cell and atoms, written as POSCAR:
```
Tl2SbOF5
1.0
6.479 -0.370 -0.537
-3.402 5.527 0.537
-3.402 -1.466 5.356
Tl Sb O F
2 1 1 5
Direct
0.500 0.240 0.740
0.500 0.740 0.240
0.000 0.986 0.986
0.000 0.796 0.796
0.459 0.242 0.242
0.541 0.782 0.782
0.000 0.782 0.242
0.000 0.242 0.782
0.000 0.189 0.189
```

Properties
**DFT total energy**: -4.55 eV/atom
**Space-group type**: I4mm, No. 107

***

No. 18
VASP calculation (PBE) on a geometry-optimized TlSbO2F structure.

Cell and atoms, written as POSCAR:
```
TlSbO2F
1.0
-3.130 -1.370 -2.410
2.763 -1.231 -2.887
0.260 -4.133 2.011
Sb Tl O F
1 1 2 1
Direct
0.000 0.000 0.000
0.500 0.500 0.500
0.000 0.500 0.000
0.500 0.000 0.000
0.000 0.000 0.500
```

Properties
**DFT total energy**: -4.97 eV/atom
**Space-group type**: P4/mmm, No. 123

***

No. 19
VASP calculation (PBE) on a geometry-optimized USb3O2F17 structure.

Cell and atoms, written as POSCAR:
```
USb3O2F17
1.0
-2.587 11.635 4.123
-4.246 -4.330 9.556
7.742 -2.074 10.713
U Sb O F
4 12 8 68
Direct
0.097 0.070 0.175
0.403 0.070 0.675
0.597 0.930 0.325
0.903 0.930 0.825
0.703 0.243 0.588
0.852 0.642 0.195
0.648 0.642 0.695
0.203 0.757 0.912
0.297 0.757 0.412
0.148 0.358 0.805
0.352 0.358 0.305
0.093 0.198 0.511
0.907 0.802 0.489
0.593 0.802 0.989
0.797 0.243 0.088
0.407 0.198 0.011
0.599 0.057 0.366
0.099 0.943 0.134
0.906 0.802 0.786
0.406 0.198 0.714
0.594 0.802 0.286
0.094 0.198 0.214
0.901 0.057 0.866
0.401 0.943 0.634
0.589 0.655 0.962
0.396 0.250 0.472
0.411 0.345 0.038
0.476 0.737 0.090
0.011 0.081 0.652
0.721 0.555 0.839
0.270 0.758 0.550
0.211 0.934 0.332
0.305 0.311 0.878
0.789 0.066 0.668
0.221 0.134 0.610
0.172 0.661 0.419
0.711 0.066 0.168
0.695 0.689 0.122
0.669 0.197 0.742
0.024 0.737 0.590
0.420 0.884 0.389
0.107 0.607 0.984
0.976 0.263 0.410
0.721 0.866 0.890
0.162 0.508 0.826
0.770 0.242 0.950
0.279 0.445 0.161
0.893 0.393 0.016
0.159 0.183 0.819
0.831 0.197 0.242
0.511 0.919 0.848
0.779 0.555 0.339
0.089 0.345 0.538
0.580 0.116 0.611
0.604 0.750 0.528
0.493 0.391 0.253
0.779 0.866 0.390
0.384 0.049 0.989
0.393 0.607 0.484
0.338 0.508 0.326
0.896 0.750 0.028
0.169 0.803 0.758
0.080 0.884 0.889
0.507 0.609 0.747
0.195 0.311 0.378
0.328 0.661 0.919
0.616 0.951 0.011
0.841 0.817 0.181
0.805 0.689 0.622
0.341 0.183 0.319
0.007 0.391 0.753
0.230 0.758 0.050
0.116 0.049 0.489
0.489 0.081 0.152
0.989 0.919 0.348
0.662 0.492 0.674
0.672 0.339 0.081
0.911 0.655 0.462
0.993 0.609 0.247
0.104 0.250 0.972
0.524 0.263 0.910
0.221 0.445 0.661
0.730 0.242 0.450
0.279 0.134 0.110
0.659 0.817 0.681
0.607 0.393 0.516
0.838 0.492 0.174
0.828 0.339 0.581
0.920 0.116 0.111
0.884 0.951 0.511
0.289 0.934 0.832
0.331 0.803 0.258
```

Properties
**DFT total energy**: -5.31 eV/atom
**Space-group type**: P2_1/c, No. 14